A crystal of KBaAl2Mo relaxed with PBEsol. Source: the Alexandria database, functional meta-GGA SCAN.

Values from the calculation:
- N(E_F): 3.528 states/eV/f.u.
- Energy relative to the elements: 0.423 eV per atom
- Crystal system: tetragonal

CIF file:
```
data_KBaAl2Mo
_chemical_formula_sum 'K1 Ba1 Al2 Mo1'
_cell_length_a 5.106
_cell_length_b 5.106
_cell_length_c 5.540
_cell_angle_alpha 90.00
_cell_angle_beta 90.00
_cell_angle_gamma 90.00
_symmetry_space_group_name_H-M 'P 4/m m m'
_symmetry_Int_Tables_number 123
_symmetry_space_group_name_Hall '-P 4 2'
loop_
_atom_site_label
_atom_site_type_symbol
_atom_site_fract_x
_atom_site_fract_y
_atom_site_fract_z
_atom_site_occupancy
K1 K 0.000 0.000 0.000 1
Ba1 Ba 0.500 0.500 0.000 1
Al1 Al 0.000 0.500 0.500 1
Mo1 Mo 0.500 0.500 0.500 1
```